No. 1
First-principles (PBE) data for a relaxed ZrBRu3 crystal, as listed in Alexandria.

```
data_ZrBRu3
_space_group_name_H-M_alt 'R -3'
_space_group_IT_number 148
_space_group_name_Hall '-R 3'
_cell_length_a 5.0401
_cell_length_b 5.0401
_cell_length_c 20.9384
_cell_angle_alpha 90.00
_cell_angle_beta 90.00
_cell_angle_gamma 120.00
loop_
_atom_site_label
_atom_site_type_symbol
_atom_site_fract_x
_atom_site_fract_y
_atom_site_fract_z
Zr1 Zr 0.0000 0.0000 0.1736
B1 B 0.0000 0.0000 0.3334
Ru1 Ru 0.0056 0.3203 0.9399
```

- calculated formation energy (eV/f.u.) = 0.62
- spin magnetization (Bohr magnetons per cell) = 0.0
- uncorrected energy (eV per atom) = -8.487



No. 2
First-principles (PBE) data for a relaxed CePm3Hg2C crystal, as listed in Alexandria.

```
data_CePm3Hg2C
_space_group_name_H-M_alt 'I m m m'
_space_group_IT_number 71
_space_group_name_Hall '-I 2 2'
_cell_length_a 4.923
_cell_length_b 5.102
_cell_length_c 15.307
_cell_angle_alpha 90.00
_cell_angle_beta 90.00
_cell_angle_gamma 90.00
loop_
_atom_site_label
_atom_site_type_symbol
_atom_site_fract_x
_atom_site_fract_y
_atom_site_fract_z
Ce1 Ce 0.000 0.000 0.000
Pm1 Pm 0.000 0.000 0.500
Pm2 Pm 0.000 0.500 0.330
Hg1 Hg 0.000 0.500 0.131
C1 C 0.000 0.500 0.500
```

- calculated formation energy (eV/f.u.) = -2.01
- spin magnetization (Bohr magnetons per cell) = 0.0
- uncorrected energy (eV per atom) = -4.574



No. 3
First-principles (PBE) data for a relaxed AlCu2Ge crystal, as listed in Alexandria.

```
data_AlCu2Ge
_space_group_name_H-M_alt 'P 4/m m m'
_space_group_IT_number 123
_space_group_name_Hall '-P 4 2'
_cell_length_a 3.820
_cell_length_b 3.820
_cell_length_c 3.850
_cell_angle_alpha 90.00
_cell_angle_beta 90.00
_cell_angle_gamma 90.00
loop_
_atom_site_label
_atom_site_type_symbol
_atom_site_fract_x
_atom_site_fract_y
_atom_site_fract_z
Al1 Al 0.000 0.000 0.000
Cu1 Cu 0.000 0.500 0.500
Ge1 Ge 0.500 0.500 0.000
```

- calculated formation energy (eV/f.u.) = 0.03
- E above lowest polymorph (eV/atom) = 0.000
- spin magnetization (Bohr magnetons per cell) = 0.0
- uncorrected energy (eV per atom) = -4.131



No. 4
First-principles (PBE) data for a relaxed SnCl crystal, as listed in Alexandria.

```
data_SnCl
_space_group_name_H-M_alt 'I 4/m'
_space_group_IT_number 87
_space_group_name_Hall '-I 4'
_cell_length_a 10.872
_cell_length_b 10.872
_cell_length_c 5.583
_cell_angle_alpha 90.00
_cell_angle_beta 90.00
_cell_angle_gamma 90.00
loop_
_atom_site_label
_atom_site_type_symbol
_atom_site_fract_x
_atom_site_fract_y
_atom_site_fract_z
Sn1 Sn 0.092 0.386 0.000
Cl1 Cl 0.103 0.748 0.000
```

- spin magnetization (Bohr magnetons per cell) = 0.0
- uncorrected formation energy (kcal/mol of atoms) = -10.3
- uncorrected energy (eV per atom) = -3.371



No. 5
First-principles (PBE) data for a relaxed TbSmTe3 crystal, as listed in Alexandria.

```
data_TbSmTe3
_space_group_name_H-M_alt 'P n m a'
_space_group_IT_number 62
_cell_length_a 8.143
_cell_length_b 11.464
_cell_length_c 7.362
_cell_angle_alpha 90.00
_cell_angle_beta 90.00
_cell_angle_gamma 90.00
loop_
_space_group_symop_operation_xyz
'x,y,z'
'-x,-y,-z'
'-x+1/2,-y,z+1/2'
'x+1/2,y,-z+1/2'
'x+1/2,-y+1/2,-z+1/2'
'-x+1/2,y+1/2,z+1/2'
'-x,y+1/2,-z'
'x,-y+1/2,z'
loop_
_atom_site_label
_atom_site_type_symbol
_atom_site_fract_x
_atom_site_fract_y
_atom_site_fract_z
Tb1 Tb 0.122 0.250 0.055
Sm1 Sm 0.000 0.000 0.500
Te1 Te 0.056 0.750 0.331
Te2 Te 0.174 0.587 0.840
```

- E above lowest polymorph (eV/atom) = 0.034
- spin magnetization (Bohr magnetons per cell) = 0.0
- uncorrected formation energy (kcal/mol of atoms) = -30.9
- uncorrected energy (eV per atom) = -5.094



No. 6
First-principles (PBE) data for a relaxed ZrMn3 crystal, as listed in Alexandria.

```
data_ZrMn3
_space_group_name_H-M_alt 'P -6 m 2'
_space_group_IT_number 187
_space_group_name_Hall 'P -6 2'
_cell_length_a 2.9046
_cell_length_b 2.9046
_cell_length_c 8.5557
_cell_angle_alpha 90.00
_cell_angle_beta 90.00
_cell_angle_gamma 120.00
loop_
_atom_site_label
_atom_site_type_symbol
_atom_site_fract_x
_atom_site_fract_y
_atom_site_fract_z
Zr1 Zr 0.0000 0.0000 0.0000
Mn1 Mn 0.0000 0.0000 0.5000
Mn2 Mn 0.6667 0.3333 0.2799
```

- calculated formation energy (eV/f.u.) = 1.50
- spin magnetization (Bohr magnetons per cell) = 2.8
- uncorrected energy (eV per atom) = -8.639



No. 7
First-principles (PBE) data for a relaxed Cs2RbZnGeSe crystal, as listed in Alexandria.

```
data_Cs2RbZnGeSe
_space_group_name_H-M_alt 'C 1 m 1'
_space_group_IT_number 8
_cell_length_a 15.879
_cell_length_b 5.314
_cell_length_c 6.725
_cell_angle_alpha 90.00
_cell_angle_beta 97.62
_cell_angle_gamma 90.00
loop_
_space_group_symop_operation_xyz
'x,y,z'
'x,-y,z'
'x+1/2,y+1/2,z'
'x+1/2,-y+1/2,z'
loop_
_atom_site_label
_atom_site_type_symbol
_atom_site_fract_x
_atom_site_fract_y
_atom_site_fract_z
Cs1 Cs 0.000 0.000 0.000
Cs2 Cs 0.217 0.500 0.318
Rb1 Rb 0.441 0.000 0.510
Zn1 Zn 0.207 0.000 0.757
Ge1 Ge 0.333 0.000 0.985
Se1 Se 0.082 0.000 0.520
```

- E above lowest polymorph (eV/atom) = 0.032
- spin magnetization (Bohr magnetons per cell) = 0.4
- uncorrected formation energy (kcal/mol of atoms) = -8.8
- uncorrected energy (eV per atom) = -2.391



No. 8
First-principles (PBE) data for a relaxed LaCo2P crystal, as listed in Alexandria.

```
data_LaCo2P
_space_group_name_H-M_alt 'P 4/m m m'
_space_group_IT_number 123
_space_group_name_Hall '-P 4 2'
_cell_length_a 4.205
_cell_length_b 4.205
_cell_length_c 3.596
_cell_angle_alpha 90.00
_cell_angle_beta 90.00
_cell_angle_gamma 90.00
loop_
_atom_site_label
_atom_site_type_symbol
_atom_site_fract_x
_atom_site_fract_y
_atom_site_fract_z
La1 La 0.000 0.000 0.000
Co1 Co 0.000 0.500 0.500
P1 P 0.500 0.500 0.000
```

- calculated formation energy (eV/f.u.) = 0.09
- spin magnetization (Bohr magnetons per cell) = 1.2
- uncorrected energy (eV per atom) = -6.115



No. 9
First-principles (PBE) data for a relaxed Zr5MoRu4 crystal, as listed in Alexandria.

```
data_Zr5MoRu4
_space_group_name_H-M_alt 'P 4/m m m'
_space_group_IT_number 123
_space_group_name_Hall '-P 4 2'
_cell_length_a 3.282
_cell_length_b 3.282
_cell_length_c 16.570
_cell_angle_alpha 90.00
_cell_angle_beta 90.00
_cell_angle_gamma 90.00
loop_
_atom_site_label
_atom_site_type_symbol
_atom_site_fract_x
_atom_site_fract_y
_atom_site_fract_z
Zr1 Zr 0.000 0.000 0.000
Zr2 Zr 0.000 0.000 0.199
Zr3 Zr 0.000 0.000 0.398
Mo1 Mo 0.500 0.500 0.500
Ru1 Ru 0.500 0.500 0.098
Ru2 Ru 0.500 0.500 0.295
```

- calculated formation energy (eV/f.u.) = -5.10
- spin magnetization (Bohr magnetons per cell) = 0.0
- uncorrected energy (eV per atom) = -9.578



No. 10
First-principles (PBE) data for a relaxed Eu2AuI crystal, as listed in Alexandria.

```
data_Eu2AuI
_space_group_name_H-M_alt 'R -3 m'
_space_group_IT_number 166
_space_group_name_Hall '-R 3 2"'
_cell_length_a 4.4021
_cell_length_b 4.4021
_cell_length_c 24.7057
_cell_angle_alpha 90.00
_cell_angle_beta 90.00
_cell_angle_gamma 120.00
loop_
_atom_site_label
_atom_site_type_symbol
_atom_site_fract_x
_atom_site_fract_y
_atom_site_fract_z
Eu1 Eu 0.0000 0.0000 0.2356
Au1 Au 0.0000 0.0000 0.5000
I1 I 0.0000 0.0000 0.0000
```

- E above lowest polymorph (eV/atom) = 0.000
- spin magnetization (Bohr magnetons per cell) = 42.9
- uncorrected formation energy (kcal/mol of atoms) = -23.1
- uncorrected energy (eV per atom) = -7.344



No. 11
First-principles (PBE) data for a relaxed Sm6AgPt2 crystal, as listed in Alexandria.

```
data_Sm6AgPt2
_space_group_name_H-M_alt 'I m m m'
_space_group_IT_number 71
_space_group_name_Hall '-I 2 2'
_cell_length_a 9.544
_cell_length_b 9.914
_cell_length_c 10.586
_cell_angle_alpha 90.00
_cell_angle_beta 90.00
_cell_angle_gamma 90.00
loop_
_atom_site_label
_atom_site_type_symbol
_atom_site_fract_x
_atom_site_fract_y
_atom_site_fract_z
Sm1 Sm 0.000 0.195 0.236
Sm2 Sm 0.198 0.500 0.170
Sm3 Sm 0.214 0.321 0.500
Ag1 Ag 0.000 0.000 0.000
Ag2 Ag 0.000 0.000 0.500
Pt1 Pt 0.000 0.340 0.000
Pt2 Pt 0.000 0.500 0.367
```

- calculated formation energy (eV/f.u.) = -5.44
- spin magnetization (Bohr magnetons per cell) = 0.0
- uncorrected energy (eV per atom) = -5.409



No. 12
First-principles (PBE) data for a relaxed BaPtPb2 crystal, as listed in Alexandria.

```
data_BaPtPb2
_space_group_name_H-M_alt 'C 1 2/c 1'
_space_group_IT_number 15
_cell_length_a 7.132
_cell_length_b 12.317
_cell_length_c 6.365
_cell_angle_alpha 90.00
_cell_angle_beta 115.59
_cell_angle_gamma 90.00
loop_
_space_group_symop_operation_xyz
'x,y,z'
'-x,-y,-z'
'-x,y,-z+1/2'
'x,-y,z+1/2'
'x+1/2,y+1/2,z'
'-x+1/2,-y+1/2,-z'
'-x+1/2,y+1/2,-z+1/2'
'x+1/2,-y+1/2,z+1/2'
loop_
_atom_site_label
_atom_site_type_symbol
_atom_site_fract_x
_atom_site_fract_y
_atom_site_fract_z
Ba1 Ba 0.000 0.110 0.250
Pt1 Pt 0.000 0.184 0.750
Pb1 Pb 0.091 0.374 0.048
```

- calculated formation energy (eV/f.u.) = -1.99
- spin magnetization (Bohr magnetons per cell) = 0.0
- uncorrected energy (eV per atom) = -4.342



Look up the spin magnetization of the third one.
0.0 Bohr magnetons per cell



Number 11 is which compound?
Sm6AgPt2